Arrangement one

Crystalline CeMnOs at its relaxed geometry, computed with PBE.

Cell and atoms, written as POSCAR:
```
CeMnOs
1.0
-2.635 2.708 3.705
2.635 -2.708 3.705
2.635 2.708 -3.705
Ce Mn Os
2 2 2
Direct
0.379 0.129 0.250
0.621 0.871 0.750
0.000 0.000 0.500
0.000 0.500 0.000
0.000 0.500 0.500
0.500 0.500 0.000
```

## Properties
Total magnetization: 4.0 μB per cell

=====

Arrangement two

Crystalline CeMnOs at its relaxed geometry, computed with PBE.

Cell and atoms, written as POSCAR:
```
CeMnOs
1.0
3.931 0.000 0.000
-1.965 3.404 0.000
0.000 0.000 4.380
Ce Mn Os
1 1 1
Direct
0.000 0.000 0.000
0.667 0.333 0.441
0.333 0.667 0.552
```

## Properties
Total magnetization: 0.0 μB per cell

=====

The structure with the least stability is arrangement two.

=====

Arrangement one

Crystalline Ce2MnOs3 at its relaxed geometry, computed with PBE.

Cell and atoms, written as POSCAR:
```
Ce2MnOs3
1.0
4.526 -2.717 0.000
4.526 2.717 0.000
-2.911 0.000 4.406
Ce Mn Os
2 1 3
Direct
0.122 0.122 0.378
0.878 0.878 0.622
0.500 0.500 0.000
0.000 0.500 0.000
0.500 0.000 0.000
0.500 0.500 0.500
```

## Properties
Total magnetization: 1.6 μB per cell

=====

Arrangement two

Crystalline Ce2MnOs3 at its relaxed geometry, computed with PBE.

Cell and atoms, written as POSCAR:
```
Ce2MnOs3
1.0
5.427 0.000 0.000
-2.714 4.700 0.000
0.000 0.000 8.480
Ce Mn Os
4 2 6
Direct
0.333 0.667 0.075
0.333 0.667 0.425
0.667 0.333 0.575
0.667 0.333 0.925
0.000 0.000 0.000
0.000 0.000 0.500
0.169 0.338 0.750
0.169 0.831 0.750
0.338 0.169 0.250
0.662 0.831 0.750
0.831 0.169 0.250
0.831 0.662 0.250
```

## Properties
Total magnetization: 3.2 μB per cell

=====

The structure with the least stability is arrangement two.

=====

Arrangement one

Crystalline CePuMn at its relaxed geometry, computed with PBE.

Cell and atoms, written as POSCAR:
```
CePuMn
1.0
4.796 0.000 0.000
-2.398 4.153 0.000
0.000 0.000 3.139
Ce Pu Mn
1 1 1
Direct
0.000 0.000 0.000
0.333 0.667 0.731
0.667 0.333 0.444
```

## Properties
Total magnetization: 3.5 μB per cell

=====

Arrangement two

Crystalline CePuMn at its relaxed geometry, computed with PBE.

Cell and atoms, written as POSCAR:
```
CePuMn
1.0
-1.771 1.771 4.898
1.771 -1.771 4.898
1.771 1.771 -4.898
Ce Pu Mn
1 1 1
Direct
0.000 0.000 0.000
0.320 0.320 0.000
0.679 0.679 0.000
```

## Properties
Total magnetization: 3.1 μB per cell

=====

The structure with the least stability is arrangement one.

=====

Arrangement one

Crystalline CeMn2Si3 at its relaxed geometry, computed with PBE.

Cell and atoms, written as POSCAR:
```
CeMn2Si3
1.0
5.111 0.000 0.000
-2.555 4.426 0.000
0.000 0.000 3.932
Ce Mn Si
1 2 3
Direct
0.000 0.000 0.000
0.333 0.667 0.000
0.667 0.333 0.000
0.000 0.500 0.500
0.500 0.000 0.500
0.500 0.500 0.500
```

## Properties
Total magnetization: 3.4 μB per cell

=====

Arrangement two

Crystalline CeMn2Si3 at its relaxed geometry, computed with PBE.

Cell and atoms, written as POSCAR:
```
CeMn2Si3
1.0
4.804 -3.707 0.000
4.804 3.707 0.000
0.000 0.000 5.130
Ce Mn Si
2 4 6
Direct
0.161 0.839 0.750
0.839 0.161 0.250
0.300 0.300 0.000
0.300 0.300 0.500
0.700 0.700 0.000
0.700 0.700 0.500
0.031 0.594 0.250
0.406 0.969 0.250
0.432 0.568 0.250
0.568 0.432 0.750
0.594 0.031 0.750
0.969 0.406 0.750
```

## Properties
Total magnetization: 3.4 μB per cell

=====

The structure with the least stability is arrangement one.

=====

Arrangement one

Crystalline Ce2MnSn at its relaxed geometry, computed with PBE.

Cell and atoms, written as POSCAR:
```
Ce2MnSn
1.0
1.831 1.057 9.612
-1.831 1.057 9.612
0.000 -2.115 9.612
Ce Mn Sn
2 1 1
Direct
0.114 0.114 0.114
0.886 0.886 0.886
0.500 0.500 0.500
0.000 0.000 0.000
```

## Properties
Total magnetization: 0.0 μB per cell

=====

Arrangement two

Crystalline Ce2MnSn at its relaxed geometry, computed with PBE.

Cell and atoms, written as POSCAR:
```
Ce2MnSn
1.0
4.418 0.000 0.000
0.000 4.418 0.000
0.000 0.000 4.768
Ce Mn Sn
2 1 1
Direct
0.000 0.500 0.000
0.500 0.000 0.000
0.000 0.000 0.500
0.500 0.500 0.500
```

## Properties
Total magnetization: 1.7 μB per cell

=====

The structure with the least stability is arrangement one.

=====

Arrangement one

Crystalline TbCe2Mn at its relaxed geometry, computed with PBE.

Cell and atoms, written as POSCAR:
```
TbCe2Mn
1.0
1.906 1.100 8.418
-1.906 1.100 8.418
0.000 -2.201 8.418
Tb Ce Mn
1 2 1
Direct
0.000 0.000 0.000
0.551 0.551 0.551
0.775 0.775 0.775
0.138 0.138 0.138
```

## Properties
Total magnetization: 1.2 μB per cell

=====

Arrangement two

Crystalline TbCe2Mn at its relaxed geometry, computed with PBE.

Cell and atoms, written as POSCAR:
```
TbCe2Mn
1.0
3.464 0.000 0.000
0.000 3.464 0.000
0.000 0.000 8.449
Tb Ce Mn
1 2 1
Direct
0.000 0.000 0.000
0.500 0.500 0.301
0.500 0.500 0.699
0.000 0.000 0.500
```

## Properties
Total magnetization: 0.8 μB per cell

=====

The structure with the least stability is arrangement one.